(1)
Below is GeIr2C after structural relaxation, with properties calculated at the PBE level.

Summary:
* volume: 128.9 Å³/cell
* energy relative to the elements: 282 meV per atom
* ρ: 12.1 Mg/m³
* spin magnetization: 0.0 μB/cell
* N(E_F): 0.406 states/eV/atom
* E above lowest polymorph: 0.000 eV/atom

Cell: 6.0755 6.0755 6.0755 Å, 129.88 129.88 73.60°
Fractional coordinates of all 8 atoms:
Ge  0.0000  0.0000  0.0000
Ge  0.7500  0.2500  0.5000
Ir  0.2019  0.6250  0.0769
Ir  0.3750  0.4519  0.5769
Ir  0.5481  0.1250  0.9231
Ir  0.8750  0.7981  0.4231
C  0.2500  0.7500  0.5000
C  0.5000  0.5000  0.0000

=====

(2)
Below is KGaGe after structural relaxation, with properties calculated at the PBE level.

Summary:
* volume: 178.4 Å³/cell
* energy relative to the elements: -61 meV per atom
* ρ: 3.4 Mg/m³
* spin magnetization: 0.0 μB/cell
* N(E_F): 0.550 states/eV/atom

Cell: 6.8072 6.8072 8.1572 Å, 118.91 118.91 33.14°
Fractional coordinates of all 6 atoms:
K  0.0000  0.0000  0.0000
K  0.1213  0.1213  0.5940
Ga  0.3847  0.3847  0.5826
Ga  0.7462  0.7462  0.3322
Ge  0.3654  0.3654  0.2398
Ge  0.7388  0.7388  0.0132